CrPb after structural relaxation. Source: the Alexandria database, functional PBE-GGA.

Lattice parameters (Å, degrees): 3.4071 3.4071 9.1346 90.00 90.00 120.00
Site moments in Bohr magnetons follow the coordinates.
Atoms (fractional coordinates):
Cr: 0.3333 0.6667 0.2500  3.71
Pb: 0.0000 0.0000 0.0000  -0.08
Cr: 0.6667 0.3333 0.7500  3.71
Pb: 0.0000 0.0000 0.5000  -0.08

Results
total moment = 4.0 μB per formula unit
total energy = -5.99 eV per atom
energy of formation = 0.675 eV/atom
DOS(E_F) = 2.56 states/eV/cell



LaCrSe2 after structural relaxation. Source: the Alexandria database, functional PBE-GGA.

Lattice parameters (Å, degrees): 4.2607 4.2607 6.6968 71.30 71.30 59.93
Site moments in Bohr magnetons follow the coordinates.
Atoms (fractional coordinates):
La: 0.2500 0.2500 0.2500  0.07
Cr: 0.7500 0.7500 0.7500  3.87
Se: 0.4891 0.4891 0.5314  -0.01
Se: 0.0109 0.0109 0.9686  -0.01

Results
total moment = 4.4 μB per formula unit
uncorrected formation energy = -1077 meV/atom
total energy = -6.46 eV per atom
distance to the lowest polymorph of the same formula = 0.026 eV per atom
DOS(E_F) = 4.08 states/eV/cell



Zr2SiTe2 after structural relaxation. Source: the Alexandria database, functional PBE-GGA.

Lattice parameters (Å, degrees): 3.0172 3.0172 15.6260 90.00 90.00 90.00
Atoms (fractional coordinates):
Te: 0.5000 0.5000 0.6391
Si: 0.5000 0.5000 0.0000
Zr: 0.5000 0.5000 0.1718
Te: 0.5000 0.5000 0.3609
Zr: 0.5000 0.5000 0.8282

Results
total moment = 0.0 μB per formula unit
uncorrected formation energy = 322 meV/atom
total energy = -5.44 eV per atom
DOS(E_F) = 3.78 states/eV/cell